ErLuAgGe: optimized geometry, PBE.

Unit cell a=5.008 b=5.008 c=5.008 alpha=60.00 beta=60.00 gamma=60.00
Positions (direct):
Ag 0.250 0.250 0.250
Er 0.500 0.500 0.500
Lu 0.000 0.000 0.000
Ge 0.750 0.750 0.750

Properties
calculated total energy: -4.640 eV/atom
E_form: -0.502 eV per atom
DOS(E_F): 3.2 states/eV/cell